Model P:
The following is a PBE-GGA calculation of an optimized crystal structure of CaZnSb2Te, from Alexandria via LeMat-Bulk.

abc: 5.2008 5.2008 5.6471
angles: 90.00 90.00 90.00
With the nearest neighbours (Å) after each atom.
Fractional positions:
Te: 0.0000 0.0000 0.5000  2 Zn 2.82
Zn: 0.0000 0.0000 0.0000  4 Sb 2.60, 2 Te 2.82
Ca: 0.5000 0.5000 0.5000  4 Te 3.68, 8 Sb 3.84
Sb: 0.5000 0.0000 0.0000  2 Zn 2.60
Sb: 0.0000 0.5000 0.0000  2 Zn 2.60

Calculated values
Theoretical density (g/cm³): 5.18
Total magnetization (μB per formula unit): 0.00

***

Model Q:
The following is a PBE-GGA calculation of an optimized crystal structure of CaZnSb2Te, from Alexandria via LeMat-Bulk.

abc: 5.8279 5.8279 5.7189
angles: 90.00 90.00 90.00
With the nearest neighbours (Å) after each atom.
Fractional positions:
Sb: 0.0000 0.5000 0.0000  2 Ca 2.91
Zn: 0.5000 0.5000 0.5000  8 Sb 4.08, 4 Te 4.12
Te: 0.0000 0.0000 0.5000  2 Ca 2.86
Sb: 0.5000 0.0000 0.0000  2 Ca 2.91
Ca: 0.0000 0.0000 0.0000  2 Te 2.86, 4 Sb 2.91

Calculated values
Theoretical density (g/cm³): 4.07
Total magnetization (μB per formula unit): 0.00

***

Which one sits at the top of the stability order? model P does.